P | Pm6Nd12Cd: relaxed, PBE.

Properties
Space group: R-3m
Magnetization, μB per atom: 0.000

Cell and atoms, written as POSCAR:
```
Pm6Nd12Cd
1.0
6.6510 3.8399 4.3820
-6.6510 3.8399 4.3820
0.0000 -7.6799 4.3820
Pm Nd Cd
6 12 1
Cartesian
-1.8032 -1.0411 3.6070 Pm
1.8032 -1.0411 3.6070 Pm
0.0000 2.0822 3.6070 Pm
0.0000 -2.0822 9.5390 Pm
-1.8033 1.0411 9.5390 Pm
1.8033 1.0411 9.5389 Pm
0.0000 -4.5320 3.6528 Nd
-3.9248 2.2660 3.6528 Nd
-1.7298 -2.9962 6.5730 Nd
-3.4597 0.0000 6.5730 Nd
-3.9249 -2.2660 9.4932 Nd
1.7298 -2.9962 6.5730 Nd
-1.7298 2.9962 6.5730 Nd
3.9249 2.2660 3.6528 Nd
3.4597 0.0000 6.5730 Nd
1.7298 2.9962 6.5730 Nd
3.9249 -2.2660 9.4932 Nd
0.0000 4.5320 9.4932 Nd
0.0000 0.0000 6.5730 Cd
```



Q | Pm6Nd12Cd: relaxed, PBE.

Properties
Space group: R-3
Magnetization, μB per atom: 0.000

Cell and atoms, written as POSCAR:
```
Pm6Nd12Cd
1.0
6.0962 3.5197 5.1239
-6.0962 3.5197 5.1239
0.0000 -7.0393 5.1239
Pm Nd Cd
6 12 1
Cartesian
-2.3599 -2.5090 8.0361 Pm
-3.3528 0.7893 7.3357 Pm
0.9929 -3.2983 7.3357 Pm
-0.9929 3.2983 8.0361 Pm
3.3528 -0.7893 8.0361 Pm
2.3600 2.5090 7.3357 Pm
-1.5177 -5.4448 6.4158 Nd
-5.4741 -1.4080 8.9559 Nd
-1.1292 -1.7735 4.8156 Nd
-3.9565 4.0367 6.4158 Nd
-0.9713 1.8647 4.8156 Nd
2.1005 -0.0912 4.8156 Nd
-2.1005 0.0912 10.5562 Nd
0.9713 -1.8647 10.5562 Nd
3.9565 -4.0367 8.9559 Nd
1.1292 1.7735 10.5562 Nd
5.4741 1.4080 6.4158 Nd
1.5177 5.4448 8.9559 Nd
0.0000 0.0000 7.6859 Cd
```



Q wins, 17 meV/atom ahead of the next structure.



P | PmPrNdCd: relaxed, PBE.

Properties
Space group: P4mm
Magnetization, μB per atom: 0.000

Cell and atoms, written as POSCAR:
```
PmPrNdCd
1.0
3.7515 0.0000 0.0000
0.0000 3.7515 0.0000
0.0000 0.0000 9.0800
Pm Pr Nd Cd
1 1 1 1
Cartesian
0.0000 0.0000 0.0000 Pm
1.8758 1.8758 6.5627 Pr
0.0000 0.0000 4.0194 Nd
1.8758 1.8758 1.9856 Cd
```



Q | PmPrNdCd: relaxed, PBE.

Properties
Space group: F-43m
Magnetization, μB per atom: 0.000

Cell and atoms, written as POSCAR:
```
PmPrNdCd
1.0
0.0000 3.9699 3.9699
3.9699 0.0000 3.9699
3.9699 3.9699 0.0000
Pm Pr Nd Cd
1 1 1 1
Cartesian
0.0000 0.0000 0.0000 Pm
5.9549 5.9549 5.9549 Pr
1.9850 1.9850 1.9850 Nd
3.9699 3.9699 3.9699 Cd
```



P wins, 124 meV/atom ahead of the next structure.



P | PmNdCdRu: relaxed, PBE.

Properties
Space group: P4mm
Magnetization, μB per atom: 0.000

Cell and atoms, written as POSCAR:
```
PmNdCdRu
1.0
3.5593 0.0000 0.0000
0.0000 3.5593 0.0000
0.0000 0.0000 7.9165
Pm Nd Cd Ru
1 1 1 1
Cartesian
0.0000 0.0000 0.0000 Pm
0.0000 0.0000 3.4202 Nd
1.7796 1.7796 5.6911 Cd
1.7796 1.7796 1.6904 Ru
```



Q | PmNdCdRu: relaxed, PBE.

Properties
Space group: F-43m
Magnetization, μB per atom: 0.000

Cell and atoms, written as POSCAR:
```
PmNdCdRu
1.0
0.0000 3.6631 3.6631
3.6631 0.0000 3.6631
3.6631 3.6631 0.0000
Pm Nd Cd Ru
1 1 1 1
Cartesian
0.0000 0.0000 0.0000 Pm
3.6631 3.6631 3.6631 Nd
1.8316 1.8316 1.8316 Cd
5.4947 5.4947 5.4947 Ru
```



P wins, 83 meV/atom ahead of the next structure.



P | PmNdSmCd: relaxed, PBE.

Properties
Space group: F-43m
Magnetization, μB per atom: 0.000

Cell and atoms, written as POSCAR:
```
PmNdSmCd
1.0
0.0000 3.9416 3.9416
3.9416 0.0000 3.9416
3.9416 3.9416 0.0000
Pm Nd Sm Cd
1 1 1 1
Cartesian
0.0000 0.0000 0.0000 Pm
5.9124 5.9124 5.9124 Nd
1.9708 1.9708 1.9708 Sm
3.9416 3.9416 3.9416 Cd
```



Q | PmNdSmCd: relaxed, PBE.

Properties
Space group: P4mm
Magnetization, μB per atom: 0.000

Cell and atoms, written as POSCAR:
```
PmNdSmCd
1.0
3.6983 0.0000 0.0000
0.0000 3.6983 0.0000
0.0000 0.0000 9.1489
Pm Nd Sm Cd
1 1 1 1
Cartesian
0.0000 0.0000 0.0000 Pm
1.8492 1.8492 6.6114 Nd
0.0000 0.0000 4.0909 Sm
1.8492 1.8492 2.0623 Cd
```



Q wins, 130 meV/atom ahead of the next structure.



P | TbPmNdCd: relaxed, PBE.

Properties
Space group: P4mm
Magnetization, μB per atom: 0.000

Cell and atoms, written as POSCAR:
```
TbPmNdCd
1.0
3.6751 0.0000 0.0000
0.0000 3.6751 0.0000
0.0000 0.0000 9.1075
Tb Pm Nd Cd
1 1 1 1
Cartesian
0.0000 0.0000 0.0000 Tb
0.0000 0.0000 4.0578 Pm
1.8376 1.8376 6.6157 Nd
1.8376 1.8376 1.9596 Cd
```



Q | TbPmNdCd: relaxed, PBE.

Properties
Space group: F-43m
Magnetization, μB per atom: 0.000

Cell and atoms, written as POSCAR:
```
TbPmNdCd
1.0
0.0000 3.9220 3.9220
3.9220 0.0000 3.9220
3.9220 3.9220 0.0000
Tb Pm Nd Cd
1 1 1 1
Cartesian
0.0000 0.0000 0.0000 Tb
5.8830 5.8830 5.8830 Pm
3.9220 3.9220 3.9220 Nd
1.9610 1.9610 1.9610 Cd
```



P wins, 141 meV/atom ahead of the next structure.



P | PmNdTmCd: relaxed, PBE.

Properties
Space group: F-43m
Magnetization, μB per atom: 0.000

Cell and atoms, written as POSCAR:
```
PmNdTmCd
1.0
0.0000 3.9082 3.9082
3.9082 0.0000 3.9082
3.9082 3.9082 0.0000
Pm Nd Tm Cd
1 1 1 1
Cartesian
0.0000 0.0000 0.0000 Pm
3.9082 3.9082 3.9082 Nd
5.8623 5.8623 5.8623 Tm
1.9541 1.9541 1.9541 Cd
```



Q | PmNdTmCd: relaxed, PBE.

Properties
Space group: P4mm
Magnetization, μB per atom: 0.000

Cell and atoms, written as POSCAR:
```
PmNdTmCd
1.0
3.6494 0.0000 0.0000
0.0000 3.6494 0.0000
0.0000 0.0000 9.0716
Pm Nd Tm Cd
1 1 1 1
Cartesian
0.0000 0.0000 0.0000 Pm
1.8247 1.8247 2.5809 Nd
0.0000 0.0000 5.0477 Tm
1.8247 1.8247 6.9366 Cd
```



Q wins, 93 meV/atom ahead of the next structure.